Entry from the Alexandria database: CaIn8 after structural relaxation (GGA-PBE).

Unit cell a=10.2331 b=10.2331 c=4.6436 alpha=90.00 beta=90.00 gamma=90.00
With the nearest neighbours (Å) after each atom.
Space group I4/mmm (No. 139)
Inequivalent atoms, fractional coordinates:
Ca 0.0000 0.0000 0.0000  12 In 3.40-3.45
In 0.0000 0.3373 0.0000  11 In 3.31-3.37, 1 Ca 3.45
In 0.1712 0.1712 0.5000  10 In 3.25-3.50, 2 Ca 3.40

## Properties
Uncorrected energy   -2.77 eV/atom

---

Entry from the Alexandria database: PmYMgPd after structural relaxation (GGA-PBE).

Unit cell a=7.3636 b=7.3636 c=7.3636 alpha=90.00 beta=90.00 gamma=90.00
With the nearest neighbours (Å) after each atom.
Space group F-43m (No. 216)
Inequivalent atoms, fractional coordinates:
Pm 0.0000 0.0000 0.0000  4 Mg 3.19, 4 Pd 3.19
Y 0.0000 0.0000 0.5000  4 Mg 3.19, 4 Pd 3.19
Mg 0.2500 0.2500 0.2500  4 Pm 3.19, 4 Y 3.19
Pd 0.2500 0.2500 0.7500  4 Pm 3.19, 4 Y 3.19

## Properties
Uncorrected energy   -4.87 eV/atom

---

Entry from the Alexandria database: K3TiMo after structural relaxation (GGA-PBE).

Unit cell a=6.7502 b=6.7502 c=6.7502 alpha=90.00 beta=90.00 gamma=90.00
With the nearest neighbours (Å) after each atom.
Space group Pm-3m (No. 221)
Inequivalent atoms, fractional coordinates:
K 0.0000 0.0000 0.5000  2 Mo 3.38
Ti 0.5000 0.5000 0.5000  12 K 4.77
Mo 0.0000 0.0000 0.0000  6 K 3.38

## Properties
Relative energy among the computed polymorphs   0.000 eV per atom

---

Entry from the Alexandria database: NaNd3Pd8 after structural relaxation (GGA-PBE).

Unit cell a=5.4981 b=5.4981 c=26.9108 alpha=90.00 beta=90.00 gamma=120.00
With the nearest neighbours (Å) after each atom.
Space group R3m (No. 160, hexagonal axes)
Inequivalent atoms, fractional coordinates:
Na 0.0000 0.0000 0.0000  12 Pd 3.16-3.29, 4 Nd 3.27-3.28
Nd 0.0000 0.0000 0.1215  12 Pd 3.11-3.37, 1 Na 3.27, 3 Nd 3.47
Nd 0.0000 0.0000 0.5065  12 Pd 3.17-3.26, 4 Nd 3.47
Nd 0.0000 0.0000 0.6354  12 Pd 3.10-3.33, 3 Na 3.28
Pd 0.0000 0.0000 0.3164  6 Pd 2.76
Pd 0.0000 0.0000 0.8163  6 Pd 2.73-2.74
Pd 0.0029 0.5015 0.0672  6 Pd 2.72-2.77
Pd 0.1676 0.3352 0.8988  6 Pd 2.73-2.76

## Properties
Uncorrected energy   -5.43 eV/atom